# SrYZn2O | the Alexandria database | PBE | optimized geometry
data_SrYZn2O
_symmetry_space_group_name_H-M 'P 4/m m m'
_symmetry_Int_Tables_number 123
_symmetry_space_group_name_Hall '-P 4 2'
_cell_length_a 5.6548
_cell_length_b 5.6548
_cell_length_c 4.3846
_cell_angle_alpha 90.00
_cell_angle_beta 90.00
_cell_angle_gamma 90.00
loop_
_atom_site_label
_atom_site_type_symbol
_atom_site_fract_x
_atom_site_fract_y
_atom_site_fract_z
Sr1 Sr 0.0000 0.0000 0.0000
Y1 Y 0.5000 0.5000 0.5000
Zn1 Zn 0.0000 0.5000 0.0000
O1 O 0.0000 0.0000 0.5000
# **E_tot**: -0.2343 Ry/atom
# **Formation energy without anion corrections**: -28 kJ/mol of formula units

---

# CeY2Cd2In2 | the Alexandria database | PBE | optimized geometry
data_CeY2Cd2In2
_symmetry_space_group_name_H-M 'R -3 m'
_symmetry_Int_Tables_number 166
_symmetry_space_group_name_Hall '-R 3 2"'
_cell_length_a 4.9652
_cell_length_b 4.9652
_cell_length_c 27.3288
_cell_angle_alpha 90.00
_cell_angle_beta 90.00
_cell_angle_gamma 120.00
loop_
_atom_site_label
_atom_site_type_symbol
_atom_site_fract_x
_atom_site_fract_y
_atom_site_fract_z
Ce1 Ce 0.0000 0.0000 0.0000
Y1 Y 0.0000 0.0000 0.1284
Cd1 Cd 0.0000 0.0000 0.3996
In1 In 0.0000 0.0000 0.2570
# **E_tot**: -0.2921 Ry/atom
# **DFT formation energy**: -235.4 meV per atom

---

# SbRhW2 | the Alexandria database | PBE | optimized geometry
data_SbRhW2
_symmetry_space_group_name_H-M 'F -4 3 m'
_symmetry_Int_Tables_number 216
_symmetry_space_group_name_Hall 'F -4 2 3'
_cell_length_a 6.4541
_cell_length_b 6.4541
_cell_length_c 6.4541
_cell_angle_alpha 90.00
_cell_angle_beta 90.00
_cell_angle_gamma 90.00
loop_
_atom_site_label
_atom_site_type_symbol
_atom_site_fract_x
_atom_site_fract_y
_atom_site_fract_z
Sb1 Sb 0.0000 0.0000 0.0000
Rh1 Rh 0.2500 0.2500 0.2500
W1 W 0.0000 0.0000 0.5000
W2 W 0.2500 0.2500 0.7500
# **E_tot**: -0.6553 Ry/atom
# **Formation energy without anion corrections**: 166 kJ/mol of formula units

---

# GaSnPb4 | the Alexandria database | PBE | optimized geometry
data_GaSnPb4
_symmetry_space_group_name_H-M 'P 1 21/m 1'
_symmetry_Int_Tables_number 11
_cell_length_a 6.2289
_cell_length_b 6.6972
_cell_length_c 8.5486
_cell_angle_alpha 90.00
_cell_angle_beta 94.76
_cell_angle_gamma 90.00
loop_
_symmetry_equiv_pos_as_xyz
'x,y,z'
'-x,-y,-z'
'-x,y+1/2,-z'
'x,-y+1/2,z'
loop_
_atom_site_label
_atom_site_type_symbol
_atom_site_fract_x
_atom_site_fract_y
_atom_site_fract_z
Ga1 Ga 0.0013 0.2500 0.4971
Sn1 Sn 0.3026 0.7500 0.8446
Pb1 Pb 0.1690 0.0001 0.1981
Pb2 Pb 0.3221 0.2500 0.8541
Pb3 Pb 0.4980 0.7500 0.5064
# **E_tot**: -0.2629 Ry/atom
# **DFT formation energy**: 67.3 meV per atom

---

# YThTe2 | the Alexandria database | PBE | optimized geometry
data_YThTe2
_symmetry_space_group_name_H-M 'P 4/m m m'
_symmetry_Int_Tables_number 123
_symmetry_space_group_name_Hall '-P 4 2'
_cell_length_a 5.3795
_cell_length_b 5.3795
_cell_length_c 3.8396
_cell_angle_alpha 90.00
_cell_angle_beta 90.00
_cell_angle_gamma 90.00
loop_
_atom_site_label
_atom_site_type_symbol
_atom_site_fract_x
_atom_site_fract_y
_atom_site_fract_z
Y1 Y 0.0000 0.0000 0.0000
Th1 Th 0.5000 0.5000 0.0000
Te1 Te 0.0000 0.5000 0.5000
# **E_tot**: -0.4549 Ry/atom
# **Formation energy without anion corrections**: -443 kJ/mol of formula units

---

# PmNi4Sb | the Alexandria database | PBE | optimized geometry
data_PmNi4Sb
_symmetry_space_group_name_H-M 'F -4 3 m'
_symmetry_Int_Tables_number 216
_symmetry_space_group_name_Hall 'F -4 2 3'
_cell_length_a 7.1557
_cell_length_b 7.1557
_cell_length_c 7.1557
_cell_angle_alpha 90.00
_cell_angle_beta 90.00
_cell_angle_gamma 90.00
loop_
_atom_site_label
_atom_site_type_symbol
_atom_site_fract_x
_atom_site_fract_y
_atom_site_fract_z
Pm1 Pm 0.0000 0.0000 0.0000
Ni1 Ni 0.1249 0.1249 0.3751
Sb1 Sb 0.2500 0.2500 0.7500
# **E_tot**: -0.4125 Ry/atom
# **Formation energy without anion corrections**: -162 kJ/mol of formula units